4
Lattice="3.626 0.000 0.000 0.000 3.626 0.000 0.000 0.000 3.541" Properties=species:S:1:pos:R:3 comment="Co2TcNi GGA-PBE optimized geometry" magmom_total_mub_per_fu=2.6 sg=P4/mmm e_form_mev_per_atom=124 polymorph_energy_ev_per_atom=0.076 pbc="T T T"
Co 1.813 1.813 0.000
Co 0.000 0.000 0.000
Ni 1.813 0.000 1.770
Tc 0.000 1.813 1.770

4
Lattice="-2.260 -3.267 1.350 0.348 -1.144 -2.185 3.861 -2.151 1.260" Properties=species:S:1:pos:R:3 comment="Co2TcNi GGA-PBE optimized geometry" magmom_total_mub_per_fu=3.3 sg=P2/m e_form_mev_per_atom=186 polymorph_energy_ev_per_atom=0.138 pbc="T T T"
Co 2.044 -1.563 -0.360
Co 0.061 -0.085 -0.103
Tc 2.027 -4.105 -0.019
Ni -0.078 -2.457 0.444

4
Lattice="-0.147 -1.733 3.677 -3.252 -2.187 1.089 0.293 -4.042 0.357" Properties=species:S:1:pos:R:3 comment="Co2TcNi GGA-PBE optimized geometry" magmom_total_mub_per_fu=2.7 sg=F-43m e_form_mev_per_atom=235 polymorph_energy_ev_per_atom=0.188 pbc="T T T"
Ni -2.329 -5.972 3.842
Co -3.399 -3.920 4.766
Co -0.777 -1.990 1.281
Tc -1.553 -3.981 2.561

4
Lattice="-8.093 0.619 2.143 -7.772 -1.919 2.527 -7.149 -0.239 4.393" Properties=species:S:1:pos:R:3 comment="Co2TcNi GGA-PBE optimized geometry" magmom_total_mub_per_fu=2.9 sg=R3m e_form_mev_per_atom=137 polymorph_energy_ev_per_atom=0.090 pbc="T T T"
Ni -11.568 -0.773 4.556
Co -22.941 -1.533 9.035
Co -5.776 -0.386 2.275
Tc -17.250 -1.153 6.794

30
Lattice="6.804 0.000 3.928 2.268 6.415 3.928 0.000 0.000 7.857" Properties=species:S:1:pos:R:3 comment="Co6TcNi23 GGA-PBE optimized geometry" magmom_total_mub_per_fu=23.1 sg=Fm-3m e_form_mev_per_atom=186 pbc="T T T"
Ni 4.536 5.835 7.857
Ni 3.402 0.000 1.964
Ni 1.134 3.207 5.893
Ni 1.159 0.820 5.849
Ni 7.913 5.595 9.864
Ni 3.297 2.332 5.711
Ni 4.586 5.595 11.785
Ni 2.059 4.083 7.857
Ni 3.402 0.000 5.893
Ni 3.297 2.332 10.002
Ni 5.775 4.083 5.711
Ni 5.775 4.083 10.002
Ni 0.000 0.000 0.000
Ni 1.134 3.207 1.964
Ni 6.804 2.459 11.785
Ni 7.913 5.595 13.706
Ni 1.159 0.820 2.008
Ni 0.000 0.000 3.928
Ni 7.013 2.332 7.857
Ni 2.268 3.956 3.928
Ni 4.486 0.820 3.928
Ni 4.536 0.580 7.857
Ni 4.536 3.207 3.928
Tc 4.536 3.207 7.857
Co 2.320 1.641 7.857
Co 5.644 1.641 9.776
Co 3.428 4.774 5.938
Co 6.752 4.774 7.857
Co 5.644 1.641 5.938
Co 3.428 4.774 9.776

4
Lattice="-4.894 6.910 -1.750 -6.680 5.020 -2.224 -6.312 5.904 0.240" Properties=species:S:1:pos:R:3 comment="CoTc2Ni GGA-PBE optimized geometry" magmom_total_mub_per_fu=1.3 sg=R-3m e_form_mev_per_atom=165 polymorph_energy_ev_per_atom=0.202 pbc="T T T"
Tc -8.957 8.930 -1.870
Tc -17.872 17.820 -3.731
Ni -13.414 13.375 -2.800
Co -4.471 4.458 -0.933

10
Lattice="-1.994 -6.439 -1.176 0.955 -1.503 6.607 -2.387 0.649 0.493" Properties=species:S:1:pos:R:3 comment="Co2TcNi2 GGA-PBE optimized geometry" magmom_total_mub_per_fu=4.4 sg=P4/mbm e_form_mev_per_atom=206 polymorph_energy_ev_per_atom=0.007 pbc="T T T"
Co 0.082 -3.766 5.365
Co -1.122 -4.175 0.065
Co -1.162 -6.596 3.064
Co 0.122 -1.345 2.367
Ni -2.527 -5.464 1.415
Ni -0.900 -1.828 4.508
Ni -1.670 -2.024 1.031
Ni -1.756 -5.268 4.892
Tc 0.000 0.000 0.000
Tc -0.520 -3.971 2.715

4
Lattice="-2.046 -1.136 2.811 3.024 -1.012 1.792 0.229 3.441 1.557" Properties=species:S:1:pos:R:3 comment="CoTc2Ni GGA-PBE optimized geometry" magmom_total_mub_per_fu=1.3 sg=P4/mmm e_form_mev_per_atom=53 polymorph_energy_ev_per_atom=0.090 pbc="T T T"
Tc 0.000 0.000 0.000
Tc 0.489 -1.074 2.301
Co -0.909 1.152 2.184
Ni 1.626 1.214 1.675

4
Lattice="-0.301 2.259 -3.915 -1.194 -2.878 -3.288 -1.785 0.810 4.084" Properties=species:S:1:pos:R:3 comment="CoTc2Ni GGA-PBE optimized geometry" magmom_total_mub_per_fu=1.4 sg=I-4m2 e_form_mev_per_atom=44 polymorph_energy_ev_per_atom=0.081 pbc="T T T"
Co -0.747 -0.309 -3.602
Tc -1.863 -1.189 -1.403
Tc -1.494 -0.619 -7.203
Ni -1.416 1.380 -1.716

3
Lattice="-0.018 4.991 -2.574 -2.106 3.780 -3.580 -1.568 1.454 1.503" Properties=species:S:1:pos:R:3 comment="CoTcNi GGA-PBE optimized geometry" magmom_total_mub_per_fu=1.3 sg=I4mm e_form_mev_per_atom=86 polymorph_energy_ev_per_atom=0.078 pbc="T T T"
Co -2.124 8.768 -6.151
Ni -1.756 3.925 -1.083
Tc -1.937 6.303 -3.571

4
Lattice="4.187 0.000 0.000 2.094 3.626 0.000 2.094 1.209 3.419" Properties=species:S:1:pos:R:3 comment="CoTc2Ni GGA-PBE optimized geometry" magmom_total_mub_per_fu=1.0 sg=F-43m e_form_mev_per_atom=212 polymorph_energy_ev_per_atom=0.249 pbc="T T T"
Co 4.187 2.417 1.709
Tc 2.094 1.209 0.855
Tc 0.000 0.000 0.000
Ni 6.281 3.626 2.564

4
Lattice="-1.105 -2.464 3.180 1.404 0.802 3.846 -2.618 1.416 2.924" Properties=species:S:1:pos:R:3 comment="CoTc2Ni GGA-PBE optimized geometry" magmom_total_mub_per_fu=2.1 sg=Fm-3m e_form_mev_per_atom=275 polymorph_energy_ev_per_atom=0.313 pbc="T T T"
Co 0.000 0.000 0.000
Tc -1.740 -0.184 7.463
Tc -0.580 -0.061 2.488
Ni -1.160 -0.123 4.975

4
Lattice="4.392 0.001 -0.011 3.650 2.442 -0.011 0.715 0.217 4.367" Properties=species:S:1:pos:R:3 comment="Co2TcNi GGA-PBE optimized geometry" magmom_total_mub_per_fu=2.2 sg=C2/m e_form_mev_per_atom=88 polymorph_energy_ev_per_atom=0.040 pbc="T T T"
Co 0.727 0.221 4.351
Co 4.366 1.326 2.189
Ni 6.567 1.995 3.259
Tc 2.189 0.665 1.086

4
Lattice="-1.875 2.477 2.819 0.389 -1.807 1.847 4.028 1.900 1.009" Properties=species:S:1:pos:R:3 comment="CoTc2Ni GGA-PBE optimized geometry" magmom_total_mub_per_fu=0.0 sg=Pmm2 e_form_mev_per_atom=-37 polymorph_energy_ev_per_atom=0.000 pbc="T T T"
Tc 0.299 1.573 1.938
Tc 3.900 1.591 1.196
Ni 2.444 1.590 3.350
Co 2.137 -0.236 1.629

4
Lattice="-1.593 -1.694 1.223 2.015 -0.841 1.461 -1.544 5.112 5.074" Properties=species:S:1:pos:R:3 comment="CoTc2Ni GGA-PBE optimized geometry" magmom_total_mub_per_fu=0.6 sg=P4mm e_form_mev_per_atom=81 polymorph_energy_ev_per_atom=0.118 pbc="T T T"
Ni -0.931 2.515 5.096
Tc -0.212 0.134 2.733
Tc -1.516 5.021 4.984
Co -0.777 2.574 2.554

10
Lattice="6.813 0.000 0.000 0.000 6.813 0.000 0.000 0.000 2.538" Properties=species:S:1:pos:R:3 comment="Co2TcNi2 GGA-PBE optimized geometry" magmom_total_mub_per_fu=4.5 sg=P4/mbm e_form_mev_per_atom=199 polymorph_energy_ev_per_atom=0.000 pbc="T T T"
Ni 5.974 4.245 0.000
Ni 2.568 5.974 0.000
Ni 4.245 0.839 0.000
Ni 0.839 2.568 0.000
Tc 0.000 0.000 0.000
Tc 3.407 3.407 0.000
Co 1.188 4.595 1.269
Co 4.595 5.625 1.269
Co 5.625 2.218 1.269
Co 2.218 1.188 1.269

6
Lattice="2.506 0.000 -0.039 0.000 3.932 0.000 -1.137 -1.966 7.755" Properties=species:S:1:pos:R:3 comment="CoTcNi GGA-PBE optimized geometry" magmom_total_mub_per_fu=0.2 sg=Imma e_form_mev_per_atom=275 polymorph_energy_ev_per_atom=0.267 pbc="T T T"
Ni 1.933 1.966 3.256
Ni -0.564 0.000 4.460
Co -0.526 0.000 6.802
Co 1.895 1.966 0.915
Tc 0.709 1.966 5.653
Tc 0.660 0.000 2.064

4
Lattice="3.062 0.000 0.000 0.000 3.062 0.000 0.000 0.000 5.468" Properties=species:S:1:pos:R:3 comment="CoTc2Ni GGA-PBE optimized geometry" magmom_total_mub_per_fu=1.6 sg=P4mm e_form_mev_per_atom=121 polymorph_energy_ev_per_atom=0.159 pbc="T T T"
Ni 1.531 1.531 3.970
Co 0.000 0.000 2.878
Tc 0.000 0.000 5.406
Tc 1.531 1.531 1.417

4
Lattice="-0.319 0.243 -2.859 2.139 -1.897 -0.400 -3.767 -4.260 0.059" Properties=species:S:1:pos:R:3 comment="Co2TcNi GGA-PBE optimized geometry" magmom_total_mub_per_fu=3.1 sg=P4mm e_form_mev_per_atom=178 polymorph_energy_ev_per_atom=0.130 pbc="T T T"
Co -0.114 -0.129 0.002
Co -0.013 -1.871 -1.615
Tc -1.909 -4.014 -1.585
Ni -1.796 -2.031 0.028

8
Lattice="-0.989 -1.943 -1.332 1.302 -2.850 3.191 -7.829 4.401 1.846" Properties=species:S:1:pos:R:3 comment="Co2TcNi GGA-PBE optimized geometry" magmom_total_mub_per_fu=2.8 sg=Cm e_form_mev_per_atom=61 polymorph_energy_ev_per_atom=0.013 pbc="T T T"
Co -3.368 -0.889 1.347
Co -0.648 -3.051 2.481
Co -6.102 1.312 0.167
Co -7.424 0.611 2.171
Tc -2.200 -1.362 3.621
Tc -0.859 -0.630 1.558
Ni -4.940 0.835 2.450
Ni -7.565 3.021 1.211